Entry 1:
Pm3ErCd: relaxed, PBE.

DFT formation energy	-0.09	eV/f.u.
E above lowest polymorph	0.00	eV per formula unit
volume	31.79	Å³/atom
total magnetic moment	0.00	μB per cell
space-group type	No. 12

Cell and atoms, written as extended XYZ:
```
10
Lattice="11.098 -1.785 0.000 11.098 1.785 0.000 -2.517 0.000 8.022" Properties=species:S:1:pos:R:3 pbc="T T T"
Pm -0.265 0.000 1.887
Pm 2.772 0.000 3.579
Pm 6.000 0.000 7.674
Pm 13.678 0.000 0.349
Pm 16.906 0.000 4.443
Pm 19.944 0.000 6.136
Er 5.474 0.000 1.445
Er 14.205 0.000 6.577
Cd 8.355 0.000 3.189
Cd 11.324 0.000 4.833
```


Entry 2:
Mn2ZnHg: relaxed, PBE.

DFT formation energy	0.98	eV/f.u.
E above lowest polymorph	0.22	eV per formula unit
volume	15.78	Å³/atom
total magnetic moment	6.64	μB per cell
space-group type	No. 71

Cell and atoms, written as extended XYZ:
```
4
Lattice="-2.011 2.016 3.893 2.011 -2.016 3.893 2.011 2.016 -3.893" Properties=species:S:1:pos:R:3 pbc="T T T"
Mn 0.000 0.000 1.947
Mn 0.000 0.000 5.839
Zn 0.000 2.016 0.000
Hg 2.011 0.000 0.000
```


Entry 3:
MnSiAg2S4: relaxed, PBE.

raw formation energy	-0.422	eV per atom
volume	21.66	Å³/atom
total magnetic moment	5.00	μB per cell
space-group type	No. 121

Cell and atoms, written as extended XYZ:
```
8
Lattice="-2.719 2.719 5.860 2.719 -2.719 5.860 2.719 2.719 -5.860" Properties=species:S:1:pos:R:3 pbc="T T T"
Mn 0.000 0.000 0.000
Si 0.000 0.000 5.860
Ag 2.719 0.000 2.930
Ag 0.000 2.719 2.930
S 1.477 1.477 -1.251
S 1.242 -1.242 7.111
S 1.242 1.242 4.609
S -1.242 1.242 7.111
```


Entry 4:
ZrZn2Ga: relaxed, PBE.

DFT formation energy	-1.68	eV/f.u.
volume	16.82	Å³/atom
total magnetic moment	0.00	μB per cell
space-group type	No. 123

Cell and atoms, written as extended XYZ:
```
4
Lattice="4.031 0.000 0.000 0.000 4.031 0.000 0.000 0.000 4.141" Properties=species:S:1:pos:R:3 pbc="T T T"
Zr 0.000 0.000 0.000
Zn 0.000 2.015 2.071
Zn 2.015 0.000 2.071
Ga 2.015 2.015 0.000
```


Entry 5:
La3Rh2: relaxed, PBE.

DFT formation energy	-3.35	eV/f.u.
E above lowest polymorph	0.00	eV per formula unit
volume	26.66	Å³/atom
total magnetic moment	0.00	μB per cell
space-group type	No. 148

Cell and atoms, written as extended XYZ:
```
15
Lattice="4.500 2.598 5.701 -4.500 2.598 5.701 0.000 -5.196 5.701" Properties=species:S:1:pos:R:3 pbc="T T T"
La 0.000 0.000 0.000
La -1.026 -2.040 6.971
La 0.000 0.000 3.464
La -2.279 -0.131 10.133
La -1.253 1.908 6.971
La 1.253 -1.908 10.133
La 2.279 0.131 6.971
La 0.000 0.000 13.641
La 1.026 2.040 10.133
Rh -3.556 0.156 7.334
Rh -1.913 -3.002 9.770
Rh 1.643 -3.158 7.334
Rh -1.643 3.158 9.770
Rh 1.913 3.002 7.334
Rh 3.556 -0.156 9.770
```


Entry 6:
Tm2Al9Rh3: relaxed, PBE.

DFT formation energy	-11.55	eV/f.u.
volume	16.59	Å³/atom
total magnetic moment	0.00	μB per cell
space-group type	No. 63

Cell and atoms, written as extended XYZ:
```
28
Lattice="6.492 -3.793 0.000 6.492 3.793 0.000 0.000 0.000 9.431" Properties=species:S:1:pos:R:3 pbc="T T T"
Tm 4.396 2.533 7.073
Tm 8.588 2.533 7.073
Tm 4.396 -2.533 2.358
Tm 8.588 -2.533 2.358
Al 4.316 2.518 0.715
Al 4.316 2.518 4.000
Al 6.492 2.821 2.358
Al 6.492 1.269 5.202
Al 6.492 1.269 8.944
Al 8.668 2.518 0.715
Al 8.668 2.518 4.000
Al 5.121 0.413 2.358
Al 5.121 -0.413 7.073
Al 7.862 0.413 2.358
Al 7.862 -0.413 7.073
Al 4.316 -2.518 5.431
Al 4.316 -2.518 8.715
Al 6.492 -1.269 0.487
Al 6.492 -1.269 4.229
Al 6.492 -2.821 7.073
Al 8.668 -2.518 5.431
Al 8.668 -2.518 8.715
Rh 0.000 0.000 0.000
Rh 0.000 0.000 4.715
Rh 4.254 0.000 0.000
Rh 4.254 0.000 4.715
Rh 8.730 0.000 0.000
Rh 8.730 0.000 4.715
```


Entry 7:
SiHgP2Cl: relaxed, PBE.

E above lowest polymorph	0.00	eV per formula unit
raw formation energy	0.483	eV per atom
volume	20.54	Å³/atom
total magnetic moment	0.64	μB per cell
space-group type	No. 123

Cell and atoms, written as extended XYZ:
```
5
Lattice="4.664 0.000 0.000 0.000 4.664 0.000 0.000 0.000 4.721" Properties=species:S:1:pos:R:3 pbc="T T T"
Si 0.000 0.000 0.000
Hg 2.332 2.332 2.360
P 0.000 2.332 0.000
P 2.332 0.000 0.000
Cl 0.000 0.000 2.360
```


Entry 8:
NbTeP: relaxed, PBE.

raw formation energy	-0.245	eV per atom
volume	23.14	Å³/atom
total magnetic moment	0.00	μB per cell
space-group type	No. 123

Cell and atoms, written as extended XYZ:
```
3
Lattice="3.491 0.000 0.000 0.000 3.491 0.000 0.000 0.000 5.696" Properties=species:S:1:pos:R:3 pbc="T T T"
Nb 0.000 0.000 0.000
Te 0.000 0.000 2.848
P 1.746 1.746 0.000
```